(1)
VASP calculation (GGA-PBE) on a relaxed structure of Sc2Be2AgPd5.

The calculated volume comes out at 15.167 A^3/atom. The symmetry is P4/mbm, No. 127. The uncorrected energy comes out at -5.541 eV per atom.

abc: 3.4526 9.3732 9.3732
angles: 90.00 90.00 90.00
Sites, in units of the cell vectors:
Sc (0.0000, 0.6772, 0.1772)
Sc (0.0000, 0.3228, 0.8228)
Sc (0.0000, 0.1772, 0.3228)
Sc (0.0000, 0.8228, 0.6772)
Be (0.0000, 0.1212, 0.6212)
Be (0.0000, 0.8788, 0.3788)
Be (0.0000, 0.6212, 0.8788)
Be (0.0000, 0.3788, 0.1212)
Ag (0.0000, 0.0000, 0.0000)
Ag (0.0000, 0.5000, 0.5000)
Pd (0.5000, 0.2154, 0.0727)
Pd (0.5000, 0.7846, 0.9274)
Pd (0.5000, 0.0727, 0.7846)
Pd (0.5000, 0.7154, 0.4274)
Pd (0.5000, 0.9274, 0.2154)
Pd (0.5000, 0.2846, 0.5726)
Pd (0.5000, 0.5726, 0.7154)
Pd (0.5000, 0.4274, 0.2846)
Pd (0.5000, 0.5000, 0.0000)
Pd (0.5000, 0.0000, 0.5000)

(2)
VASP calculation (GGA-PBE) on a relaxed structure of Eu3RhPb.

The calculated volume comes out at 33.736 A^3/atom. The symmetry is Pm-3m, No. 221. The uncorrected energy comes out at -8.726 eV per atom.

abc: 5.5253 5.5253 5.5253
angles: 90.00 90.00 90.00
Each line ends with the local moment (μB).
Sites, in units of the cell vectors:
Pb (0.5000, 0.5000, 0.5000)  -0.11
Eu (0.0000, 0.5000, 0.0000)  6.79
Eu (0.0000, 0.0000, 0.5000)  6.79
Eu (0.5000, 0.0000, 0.0000)  6.79
Rh (0.0000, 0.0000, 0.0000)  -0.30

(3)
VASP calculation (GGA-PBE) on a relaxed structure of CaSnS2O8.

The calculated volume comes out at 15.354 A^3/atom. The symmetry is P-3m1, No. 164. The uncorrected energy comes out at -6.204 eV per atom.

abc: 5.3242 5.3242 7.5051
angles: 90.00 90.00 120.00
Sites, in units of the cell vectors:
Ca (0.0000, 0.0000, 0.0000)
Sn (0.0000, 0.0000, 0.5000)
S (0.6667, 0.3333, 0.1863)
S (0.3333, 0.6667, 0.8137)
O (0.3333, 0.6667, 0.0094)
O (0.3599, 0.1803, 0.2532)
O (0.8197, 0.1795, 0.2532)
O (0.6667, 0.3333, 0.9906)
O (0.1803, 0.8205, 0.7468)
O (0.6401, 0.8197, 0.7468)
O (0.1795, 0.3599, 0.7468)
O (0.8205, 0.6401, 0.2532)

(4)
VASP calculation (GGA-PBE) on a relaxed structure of SmGeAu3.

The polymorph energy (0 for the lowest one) comes out at 0.021 eV/atom. The calculated volume comes out at 21.366 A^3/atom. The symmetry is P2_1/m, No. 11. The uncorrected energy comes out at -4.324 eV per atom.

abc: 6.7182 6.2957 6.0940
angles: 90.00 90.00 55.99
Sites, in units of the cell vectors:
Sm (0.0560, 0.2225, 0.0524)
Sm (0.5046, 0.7432, 0.5524)
Ge (0.8539, 0.1487, 0.5524)
Ge (0.7067, 0.8170, 0.0524)
Au (0.0608, 0.3796, 0.5524)
Au (0.4998, 0.5861, 0.0524)
Au (0.4854, 0.2089, 0.7972)
Au (0.4855, 0.2089, 0.3076)
Au (0.0751, 0.7568, 0.2972)
Au (0.0751, 0.7568, 0.8076)